# 1
The following is a PBE calculation of an optimized crystal structure of TiAlIO2, from Alexandria via LeMat-Bulk.

Structure (extended XYZ):
```
5
Lattice="3.9751 0.0000 0.0000 0.0000 3.9751 0.0000 0.0000 0.0000 5.7350" Properties=species:S:1:pos:R:3 pbc="T T T"
Ti 0.0000 0.0000 0.0000
Al 1.9875 1.9875 2.8675
I 0.0000 0.0000 2.8675
O 0.0000 1.9875 0.0000
O 1.9875 0.0000 0.0000
```

Properties
E above lowest polymorph = 0.000 eV/atom
Formation energy from raw total energies = -1146 meV/atom
DOS(E_F) = 1.26 states/eV per cell

=====

# 2
The following is a PBE calculation of an optimized crystal structure of TiAlI2O, from Alexandria via LeMat-Bulk.

Structure (extended XYZ):
```
5
Lattice="5.7086 0.0000 0.0000 0.0000 5.7086 0.0000 0.0000 0.0000 3.4969" Properties=species:S:1:pos:R:3 pbc="T T T"
Ti 0.0000 0.0000 0.0000
Al 2.8543 2.8543 1.7484
I 0.0000 2.8543 1.7484
I 2.8543 0.0000 1.7484
O 2.8543 2.8543 0.0000
```

Properties
E above lowest polymorph = 0.297 eV/atom
Formation energy from raw total energies = -600 meV/atom
DOS(E_F) = 2.50 states/eV per cell

=====

# 3
The following is a PBE calculation of an optimized crystal structure of TiAlIO2, from Alexandria via LeMat-Bulk.

Structure (extended XYZ):
```
5
Lattice="3.7869 0.0000 0.0000 0.0000 3.7869 0.0000 0.0000 0.0000 5.7067" Properties=species:S:1:pos:R:3 pbc="T T T"
Ti 0.0000 0.0000 0.0000
Al 1.8934 1.8934 2.8534
I 1.8934 1.8934 0.0000
O 0.0000 1.8934 2.8534
O 1.8934 0.0000 2.8534
```

Properties
E above lowest polymorph = 0.302 eV/atom
Formation energy from raw total energies = -844 meV/atom
DOS(E_F) = 5.74 states/eV per cell

=====

# 4
The following is a PBE calculation of an optimized crystal structure of TiAlI2O, from Alexandria via LeMat-Bulk.

Structure (extended XYZ):
```
5
Lattice="5.8341 0.0000 0.0000 0.0000 5.8341 0.0000 0.0000 0.0000 3.7805" Properties=species:S:1:pos:R:3 pbc="T T T"
Ti 0.0000 0.0000 0.0000
Al 2.9170 2.9170 1.8902
I 0.0000 2.9170 0.0000
I 2.9170 0.0000 0.0000
O 0.0000 0.0000 1.8902
```

Properties
E above lowest polymorph = 0.000 eV/atom
Formation energy from raw total energies = -897 meV/atom
DOS(E_F) = 0.49 states/eV per cell

=====

# 5
The following is a PBE calculation of an optimized crystal structure of AlTlIO2, from Alexandria via LeMat-Bulk.

Structure (extended XYZ):
```
5
Lattice="4.0322 0.0000 0.0000 0.0000 4.0322 0.0000 0.0000 0.0000 5.7222" Properties=species:S:1:pos:R:3 pbc="T T T"
Al 0.0000 0.0000 0.0000
Tl 2.0161 2.0161 2.8611
I 0.0000 0.0000 2.8611
O 0.0000 2.0161 0.0000
O 2.0161 0.0000 0.0000
```

Properties
E above lowest polymorph = 0.000 eV/atom
Formation energy from raw total energies = -706 meV/atom
DOS(E_F) = 2.07 states/eV per cell

=====

# 6
The following is a PBE calculation of an optimized crystal structure of AlTlIO2, from Alexandria via LeMat-Bulk.

Structure (extended XYZ):
```
5
Lattice="4.2857 0.0000 0.0000 0.0000 4.2857 0.0000 0.0000 0.0000 6.5378" Properties=species:S:1:pos:R:3 pbc="T T T"
Al 0.0000 0.0000 0.0000
Tl 2.1428 2.1428 3.2689
I 2.1428 2.1428 0.0000
O 0.0000 2.1428 3.2689
O 2.1428 0.0000 3.2689
```

Properties
E above lowest polymorph = 0.882 eV/atom
Formation energy from raw total energies = 177 meV/atom
DOS(E_F) = 4.25 states/eV per cell